(1)
! Li2USnS4 (PBE, optimized geometry); values from VASP
! magnetic moment	2.00	μB per formula unit
! SG	No. 10
! volume	21.38	A^3/atom
! raw formation energy	-1.1022	eV per atom
&SYSTEM
  ibrav = 0, nat = 8, ntyp = 4
/
ATOMIC_SPECIES
U 238.03 U.upf
Li 6.94 Li.upf
S 32.06 S.upf
Sn 118.71 Sn.upf
ATOMIC_POSITIONS crystal
U 0.000 0.500 0.500
Li 0.500 0.000 0.500
Li 0.000 0.000 0.000
S 0.500 0.247 0.745
S 0.000 0.250 0.280
S 0.000 0.750 0.720
S 0.500 0.753 0.255
Sn 0.500 0.500 0.000
CELL_PARAMETERS angstrom
-3.338 0.482 -2.019
-1.608 -6.244 1.168
-3.744 -0.641 6.038

***

(2)
! LiUSn2S6 (PBE, optimized geometry); values from VASP
! magnetic moment	0.00	μB per formula unit
! SG	No. 146
! volume	24.29	A^3/atom
! raw formation energy	-0.7700	eV per atom
&SYSTEM
  ibrav = 0, nat = 10, ntyp = 4
/
ATOMIC_SPECIES
S 32.06 S.upf
Li 6.94 Li.upf
U 238.03 U.upf
Sn 118.71 Sn.upf
ATOMIC_POSITIONS crystal
S 0.086 0.204 0.684
S 0.495 0.881 0.684
S 0.111 0.370 0.189
S 0.832 0.740 0.188
S 0.463 0.092 0.189
S 0.817 0.612 0.684
Li 0.001 0.500 0.488
U 0.976 0.987 0.949
Sn 0.600 0.299 0.885
Sn 0.584 0.792 0.362
CELL_PARAMETERS angstrom
6.892 -0.001 -0.002
-3.446 5.969 -0.001
-3.444 -1.989 5.905

***

(3)
! Li4Y3SnS8 (PBE, optimized geometry); values from VASP
! magnetic moment	0.00	μB per formula unit
! SG	No. 166
! volume	20.43	A^3/atom
! raw formation energy	-1.5607	eV per atom
&SYSTEM
  ibrav = 0, nat = 16, ntyp = 4
/
ATOMIC_SPECIES
S 32.06 S.upf
Li 6.94 Li.upf
Y 88.91 Y.upf
Sn 118.71 Sn.upf
ATOMIC_POSITIONS crystal
S 0.247 0.249 0.998
S 0.250 0.249 0.499
S 0.249 0.751 0.498
S 0.751 0.249 0.998
S 0.750 0.751 0.501
S 0.753 0.751 0.002
S 0.249 0.751 0.002
S 0.751 0.249 0.502
Li 0.000 0.000 0.500
Li 0.500 0.000 0.500
Li 0.500 0.000 0.000
Li 0.000 0.000 0.000
Y 0.000 0.500 0.500
Y 0.500 0.500 0.000
Y 0.500 0.500 0.500
Sn 0.000 0.500 0.000
CELL_PARAMETERS angstrom
7.818 0.000 0.000
0.000 7.651 -0.125
-3.909 -3.905 5.529

***

(4)
! LiZnSnS2 (PBE, optimized geometry); values from VASP
! magnetic moment	0.00	μB per formula unit
! SG	No. 123
! volume	21.06	A^3/atom
! raw formation energy	0.0336	eV per atom
&SYSTEM
  ibrav = 0, nat = 5, ntyp = 4
/
ATOMIC_SPECIES
Li 6.94 Li.upf
S 32.06 S.upf
Zn 65.41 Zn.upf
Sn 118.71 Sn.upf
ATOMIC_POSITIONS crystal
Li 0.000 0.000 0.500
S 0.500 0.000 0.000
S 0.000 0.500 0.000
Zn 0.000 0.000 0.000
Sn 0.500 0.500 0.500
CELL_PARAMETERS angstrom
-3.492 1.371 3.108
0.992 -3.852 2.813
2.958 2.412 2.260

***

(5)
! LiZn2SnS4 (PBE, optimized geometry); values from VASP
! magnetic moment	0.00	μB per formula unit
! SG	No. 121
! volume	22.33	A^3/atom
! raw formation energy	-0.7054	eV per atom
&SYSTEM
  ibrav = 0, nat = 8, ntyp = 4
/
ATOMIC_SPECIES
Zn 65.41 Zn.upf
S 32.06 S.upf
Sn 118.71 Sn.upf
Li 6.94 Li.upf
ATOMIC_POSITIONS crystal
Zn 0.250 0.750 0.500
Zn 0.750 0.250 0.500
S 0.098 0.098 0.730
S 0.632 0.632 0.730
S 0.368 0.902 0.270
S 0.902 0.368 0.270
Sn 0.500 0.500 0.000
Li 0.000 0.000 0.000
CELL_PARAMETERS angstrom
5.557 0.231 0.000
-0.231 5.557 0.000
-2.663 -2.894 5.776

***

(6)
! Li2ZrSn3S6 (PBE, optimized geometry); values from VASP
! magnetic moment	0.00	μB per formula unit
! SG	No. 12
! volume	22.23	A^3/atom
! raw formation energy	-0.9033	eV per atom
&SYSTEM
  ibrav = 0, nat = 12, ntyp = 4
/
ATOMIC_SPECIES
Sn 118.71 Sn.upf
S 32.06 S.upf
Li 6.94 Li.upf
Zr 91.22 Zr.upf
ATOMIC_POSITIONS crystal
Sn 0.836 0.164 0.500
Sn 0.500 0.500 0.500
Sn 0.164 0.836 0.500
S 0.611 0.918 0.785
S 0.389 0.082 0.215
S 0.918 0.611 0.785
S 0.776 0.776 0.250
S 0.082 0.389 0.215
S 0.224 0.224 0.750
Li 0.691 0.309 0.000
Li 0.309 0.691 0.000
Zr 0.000 0.000 0.000
CELL_PARAMETERS angstrom
6.844 -0.027 0.063
-3.444 5.915 0.063
-1.073 -1.859 6.565

***

(7)
! LiZrSn2S5 (PBE, optimized geometry); values from VASP
! magnetic moment	0.00	μB per formula unit
! SG	No. 36
! volume	22.86	A^3/atom
! raw formation energy	-0.8771	eV per atom
&SYSTEM
  ibrav = 0, nat = 18, ntyp = 4
/
ATOMIC_SPECIES
Sn 118.71 Sn.upf
S 32.06 S.upf
Zr 91.22 Zr.upf
Li 6.94 Li.upf
ATOMIC_POSITIONS crystal
Sn 0.111 0.221 0.267
Sn 0.889 0.779 0.767
Sn 0.091 0.182 0.646
Sn 0.909 0.818 0.146
S 0.387 0.774 0.011
S 0.613 0.226 0.511
S 0.289 0.578 0.402
S 0.748 0.495 0.166
S 0.512 0.025 0.777
S 0.923 0.846 0.574
S 0.488 0.975 0.277
S 0.252 0.505 0.666
S 0.711 0.422 0.902
S 0.077 0.154 0.074
Zr 0.773 0.546 0.524
Zr 0.227 0.454 0.024
Li 0.438 0.877 0.456
Li 0.562 0.123 0.956
CELL_PARAMETERS angstrom
-2.494 2.295 -1.588
-1.233 -7.229 -4.103
-9.148 -3.623 9.131

***

(8)
! Li2ZrSnS4 (PBE, optimized geometry); values from VASP
! magnetic moment	0.00	μB per formula unit
! SG	No. 10
! volume	19.86	A^3/atom
! raw formation energy	-1.1680	eV per atom
&SYSTEM
  ibrav = 0, nat = 8, ntyp = 4
/
ATOMIC_SPECIES
Zr 91.22 Zr.upf
Sn 118.71 Sn.upf
S 32.06 S.upf
Li 6.94 Li.upf
ATOMIC_POSITIONS crystal
Zr 0.000 0.500 0.500
Sn 0.500 0.500 0.000
S 0.500 0.256 0.737
S 0.000 0.749 0.719
S 0.000 0.251 0.281
S 0.500 0.744 0.263
Li 0.500 0.000 0.500
Li 0.000 0.000 0.000
CELL_PARAMETERS angstrom
-0.048 -3.411 -1.647
5.107 -1.801 3.580
-2.081 -2.838 5.939

***

(9)
! LiZrSnS4 (PBE, optimized geometry); values from VASP
! magnetic moment	0.00	μB per formula unit
! SG	No. 74
! volume	22.87	A^3/atom
! raw formation energy	-1.0934	eV per atom
&SYSTEM
  ibrav = 0, nat = 14, ntyp = 4
/
ATOMIC_SPECIES
S 32.06 S.upf
Sn 118.71 Sn.upf
Zr 91.22 Zr.upf
Li 6.94 Li.upf
ATOMIC_POSITIONS crystal
S 0.241 0.245 0.273
S 0.241 0.773 0.745
S 0.759 0.755 0.727
S 0.769 0.231 0.731
S 0.731 0.769 0.269
S 0.231 0.769 0.269
S 0.759 0.227 0.255
S 0.269 0.231 0.731
Sn 0.000 0.500 0.500
Sn 0.000 0.000 0.000
Zr 0.500 0.000 0.500
Zr 0.000 0.000 0.500
Li 0.374 0.376 0.876
Li 0.626 0.624 0.124
CELL_PARAMETERS angstrom
7.509 0.000 0.000
3.755 6.756 0.196
3.755 2.245 6.375

***

(10)
! SrLiS3 (PBE, optimized geometry); values from VASP
! E above lowest polymorph	552	meV/atom
! magnetic moment	3.00	μB per formula unit
! SG	No. 221
! volume	35.62	A^3/atom
! raw formation energy	-0.1149	eV per atom
&SYSTEM
  ibrav = 0, nat = 5, ntyp = 3
/
ATOMIC_SPECIES
S 32.06 S.upf
Li 6.94 Li.upf
Sr 87.62 Sr.upf
ATOMIC_POSITIONS crystal
S 0.500 0.000 0.000
S 0.000 0.000 0.500
S 0.000 0.500 0.000
Li 0.500 0.500 0.500
Sr 0.000 0.000 0.000
CELL_PARAMETERS angstrom
5.626 0.000 0.000
0.000 5.626 0.000
0.000 0.000 5.626

***

(11)
! SrLi2S (PBE, optimized geometry); values from VASP
! magnetic moment	0.00	μB per formula unit
! SG	No. 122
! volume	35.13	A^3/atom
! raw formation energy	-0.5941	eV per atom
&SYSTEM
  ibrav = 0, nat = 8, ntyp = 3
/
ATOMIC_SPECIES
S 32.06 S.upf
Sr 87.62 Sr.upf
Li 6.94 Li.upf
ATOMIC_POSITIONS crystal
S 0.500 0.500 0.000
S 0.250 0.750 0.500
Sr 0.000 0.000 0.000
Sr 0.750 0.250 0.500
Li 0.377 0.125 0.250
Li 0.875 0.627 0.750
Li 0.375 0.623 0.750
Li 0.373 0.625 0.250
CELL_PARAMETERS angstrom
-4.659 0.026 -5.678
-4.173 -4.997 3.401
-7.147 1.333 1.120

***

(12)
! SrLiS2 (PBE, optimized geometry); values from VASP
! magnetic moment	0.43	μB per formula unit
! SG	No. 225
! volume	21.43	A^3/atom
! raw formation energy	-1.1669	eV per atom
&SYSTEM
  ibrav = 0, nat = 4, ntyp = 3
/
ATOMIC_SPECIES
Li 6.94 Li.upf
S 32.06 S.upf
Sr 87.62 Sr.upf
ATOMIC_POSITIONS crystal
Li 0.000 0.000 0.000
S 0.250 0.250 0.250
S 0.750 0.750 0.750
Sr 0.500 0.500 0.500
CELL_PARAMETERS angstrom
0.000 3.500 3.500
3.500 0.000 3.500
3.500 3.500 0.000

***

(13)
! SrLiS2 (PBE, optimized geometry); values from VASP
! magnetic moment	1.00	μB per formula unit
! SG	No. 122
! volume	26.16	A^3/atom
! raw formation energy	-1.1394	eV per atom
&SYSTEM
  ibrav = 0, nat = 8, ntyp = 3
/
ATOMIC_SPECIES
S 32.06 S.upf
Sr 87.62 Sr.upf
Li 6.94 Li.upf
ATOMIC_POSITIONS crystal
S 0.527 0.125 0.250
S 0.375 0.473 0.750
S 0.875 0.777 0.750
S 0.223 0.625 0.250
Sr 0.750 0.250 0.500
Sr 0.000 0.000 0.000
Li 0.500 0.500 0.000
Li 0.250 0.750 0.500
CELL_PARAMETERS angstrom
-4.476 -1.804 2.382
2.725 -4.225 1.921
0.771 0.750 8.095

***

(14)
! SrLi2S2 (PBE, optimized geometry); values from VASP
! E above lowest polymorph	438	meV/atom
! magnetic moment	0.00	μB per formula unit
! SG	No. 127
! volume	21.48	A^3/atom
! raw formation energy	-1.1314	eV per atom
&SYSTEM
  ibrav = 0, nat = 10, ntyp = 3
/
ATOMIC_SPECIES
Li 6.94 Li.upf
S 32.06 S.upf
Sr 87.62 Sr.upf
ATOMIC_POSITIONS crystal
Li 0.378 0.122 0.500
Li 0.622 0.878 0.500
Li 0.878 0.378 0.500
Li 0.122 0.622 0.500
S 0.331 0.831 0.000
S 0.169 0.331 0.000
S 0.831 0.669 0.000
S 0.669 0.169 0.000
Sr 0.000 0.000 0.000
Sr 0.500 0.500 0.000
CELL_PARAMETERS angstrom
-0.020 -6.845 -3.388
-0.753 -3.370 6.812
-3.664 0.169 -0.321

***

(15)
! SrLiS (PBE, optimized geometry); values from VASP
! E above lowest polymorph	2	meV/atom
! magnetic moment	0.00	μB per formula unit
! SG	No. 166
! volume	32.56	A^3/atom
! raw formation energy	-1.2184	eV per atom
&SYSTEM
  ibrav = 0, nat = 6, ntyp = 3
/
ATOMIC_SPECIES
Sr 87.62 Sr.upf
S 32.06 S.upf
Li 6.94 Li.upf
ATOMIC_POSITIONS crystal
Sr 0.609 0.609 0.174
Sr 0.391 0.391 0.826
S 0.720 0.720 0.841
S 0.280 0.280 0.159
Li 0.807 0.807 0.578
Li 0.193 0.193 0.422
CELL_PARAMETERS angstrom
-2.103 4.490 0.808
-4.299 0.333 2.577
2.488 2.404 8.736

***

(16)
! SrLiS3 (PBE, optimized geometry); values from VASP
! E above lowest polymorph	0	meV/atom
! magnetic moment	0.00	μB per formula unit
! SG	No. 221
! volume	19.91	A^3/atom
! raw formation energy	-0.6669	eV per atom
&SYSTEM
  ibrav = 0, nat = 5, ntyp = 3
/
ATOMIC_SPECIES
S 32.06 S.upf
Li 6.94 Li.upf
Sr 87.62 Sr.upf
ATOMIC_POSITIONS crystal
S 0.000 0.000 0.500
S 0.000 0.500 0.000
S 0.500 0.000 0.000
Li 0.000 0.000 0.000
Sr 0.500 0.500 0.500
CELL_PARAMETERS angstrom
4.635 0.000 0.000
0.000 4.635 0.000
0.000 0.000 4.635

***

(17)
! SrLi3S (PBE, optimized geometry); values from VASP
! E above lowest polymorph	0	meV/atom
! magnetic moment	1.00	μB per formula unit
! SG	No. 221
! volume	24.00	A^3/atom
! raw formation energy	-0.4773	eV per atom
&SYSTEM
  ibrav = 0, nat = 5, ntyp = 3
/
ATOMIC_SPECIES
Li 6.94 Li.upf
Sr 87.62 Sr.upf
S 32.06 S.upf
ATOMIC_POSITIONS crystal
Li 0.000 0.000 0.500
Li 0.000 0.500 0.000
Li 0.500 0.000 0.000
Sr 0.500 0.500 0.500
S 0.000 0.000 0.000
CELL_PARAMETERS angstrom
4.933 0.000 0.000
0.000 4.933 0.000
0.000 0.000 4.933

***

(18)
! SrLiS (PBE, optimized geometry); values from VASP
! E above lowest polymorph	0	meV/atom
! magnetic moment	0.95	μB per formula unit
! SG	No. 187
! volume	22.24	A^3/atom
! raw formation energy	-1.2208	eV per atom
&SYSTEM
  ibrav = 0, nat = 3, ntyp = 3
/
ATOMIC_SPECIES
Li 6.94 Li.upf
Sr 87.62 Sr.upf
S 32.06 S.upf
ATOMIC_POSITIONS crystal
Li 0.167 0.333 0.667
Sr 0.667 0.667 0.333
S 0.167 0.000 0.000
CELL_PARAMETERS angstrom
-3.953 -1.891 -0.860
1.768 -3.756 0.132
-1.559 1.684 3.462

***

(19)
! SrLi2S2 (PBE, optimized geometry); values from VASP
! E above lowest polymorph	0	meV/atom
! magnetic moment	0.00	μB per formula unit
! SG	No. 139
! volume	18.96	A^3/atom
! raw formation energy	-1.5697	eV per atom
&SYSTEM
  ibrav = 0, nat = 5, ntyp = 3
/
ATOMIC_SPECIES
S 32.06 S.upf
Li 6.94 Li.upf
Sr 87.62 Sr.upf
ATOMIC_POSITIONS crystal
S 0.366 0.366 0.268
S 0.634 0.634 0.732
Li 0.250 0.750 0.500
Li 0.750 0.250 0.500
Sr 0.000 0.000 0.000
CELL_PARAMETERS angstrom
-2.449 -2.343 -1.842
-0.477 -2.045 3.236
-6.323 1.578 2.363

***

(20)
! SrLi3S (PBE, optimized geometry); values from VASP
! E above lowest polymorph	1400	meV/atom
! magnetic moment	0.00	μB per formula unit
! SG	No. 221
! volume	35.49	A^3/atom
! raw formation energy	0.9223	eV per atom
&SYSTEM
  ibrav = 0, nat = 5, ntyp = 3
/
ATOMIC_SPECIES
Sr 87.62 Sr.upf
Li 6.94 Li.upf
S 32.06 S.upf
ATOMIC_POSITIONS crystal
Sr 0.000 0.000 0.000
Li 0.000 0.500 0.000
Li 0.000 0.000 0.500
Li 0.500 0.000 0.000
S 0.500 0.500 0.500
CELL_PARAMETERS angstrom
5.620 0.000 0.000
0.000 5.620 0.000
0.000 0.000 5.620